VASP calculation (GGA-PBEsol) on MgTc2Os after structural relaxation.

For the total magnetization, the calculation gives 0.00 μB/f.u. The formation energy is 0.38 eV/atom.

The structure belongs to space group P4/mmm (No. 123); the cell edges are 4.5195, 4.5195 and 2.8264 Å and the angles 90.00°, 90.00° and 90.00°. The asymmetric unit holds Mg at (0.0000, 0.0000, 0.0000), Tc at (0.0000, 0.5000, 0.5000) and Os at (0.5000, 0.5000, 0.0000).

=====

VASP calculation (GGA-PBEsol) on BeCdAs2 after structural relaxation.

For the total magnetization, the calculation gives 0.00 μB/f.u. The formation energy is 0.56 eV/atom.

The structure belongs to space group F-43m (No. 216); the cell edges are 6.5415, 6.5415 and 6.5415 Å and the angles 90.00°, 90.00° and 90.00°. The asymmetric unit holds Be at (0.0000, 0.0000, 0.0000), Cd at (0.2500, 0.2500, 0.7500), As at (0.0000, 0.0000, 0.5000) and As at (0.2500, 0.2500, 0.2500).